Entry 1:
Crystalline Cd2GaGe2 at its relaxed geometry, computed with PBE.

a = 8.548 Å, b = 8.548 Å, c = 3.017 Å
α = 90.00°, β = 90.00°, γ = 90.00°
Space group P4/mbm (No. 127)
One atom of each set of equivalent atoms:
Cd: 0.145 0.355 0.000 [4 per cell]
Ga: 0.000 0.000 0.000 [2 per cell]
Ge: 0.154 0.654 0.500 [4 per cell]

## Properties
Its size of the total moment is 0.00 Bohr magnetons per cell. The value obtained for the energy above the most stable polymorph in this dataset is 25 kJ/mol of formula units. The formation energy comes out at 0.2352 eV per atom.


Entry 2:
Crystalline Ac3ZnAg2 at its relaxed geometry, computed with PBE.

a = 3.954 Å, b = 3.954 Å, c = 11.782 Å
α = 90.00°, β = 90.00°, γ = 90.00°
Space group P4/mmm (No. 123)
One atom of each set of equivalent atoms:
Ac: 0.000 0.000 0.000 [1 per cell]
Ac: 0.000 0.000 0.337 [2 per cell]
Zn: 0.500 0.500 0.500 [1 per cell]
Ag: 0.500 0.500 0.168 [2 per cell]

## Properties
Its size of the total moment is 0.00 Bohr magnetons per cell. The formation energy comes out at -0.2634 eV per atom.